DFT (PBE) results for crystalline CdGaBi2H at its relaxed geometry.

Geometry as POSCAR:
```
CdGaBi2H
1.0
-3.1158 3.4684 -3.5541
-4.9644 -2.2833 2.1240
-0.0738 2.3936 2.4006
Cd H Bi Ga
1 1 2 1
direct
0.5000 0.5000 0.5000
0.0000 0.0000 0.5000
0.0000 0.5000 0.0000
0.5000 0.0000 0.0000
0.0000 0.0000 0.0000
```

## Properties
Mass density   8.56 Mg/m³
Space-group type   No. 123
Final energy   -14.29 eV/cell
Total moment   0.00 μB per cell